#i
## LiIn2Os2 (GGA-PBE)

Data for an optimized crystal structure of LiIn2Os2.

abc: 7.976 7.976 2.956
angles: 90.00 90.00 90.00
Fractional coordinates of all 10 atoms:
Os (0.889, 0.611, 0.000)
Os (0.611, 0.111, 0.000)
In (0.317, 0.183, 0.500)
In (0.183, 0.683, 0.500)
In (0.817, 0.317, 0.500)
Os (0.111, 0.389, 0.000)
Li (0.500, 0.500, 0.000)
In (0.683, 0.817, 0.500)
Li (0.000, 0.000, 0.000)
Os (0.389, 0.889, 0.000)

Values from the calculation:
V	18.81	A^3/atom
space-group type	P4/mbm, No. 127
total magnetic moment	0.0	Bohr magnetons per cell

#ii
## LiIn2Os2 (GGA-PBE)

Data for an optimized crystal structure of LiIn2Os2.

abc: 3.706 3.706 7.589
angles: 75.87 75.87 90.00
Fractional coordinates of all 5 atoms:
In (0.398, 0.398, 0.204)
In (0.602, 0.602, 0.796)
Os (0.250, 0.750, 0.500)
Li (0.000, 0.000, 0.000)
Os (0.750, 0.250, 0.500)

Values from the calculation:
V	19.57	A^3/atom
space-group type	I4/mmm, No. 139
total magnetic moment	0.0	Bohr magnetons per cell

Tell me which of them is the least stable. Sure, it is #ii.

#i
## LiInP (GGA-PBE)

Data for an optimized crystal structure of LiInP.

abc: 6.418 6.228 3.251
angles: 78.37 71.88 29.74
Fractional coordinates of all 3 atoms:
In (0.019, 0.019, 0.981)
P (0.676, 0.676, 0.324)
Li (0.305, 0.305, 0.695)

Values from the calculation:
V	20.21	A^3/atom
space-group type	Fmm2, No. 42
total magnetic moment	0.0	Bohr magnetons per cell

#ii
## LiInP (GGA-PBE)

Data for an optimized crystal structure of LiInP.

abc: 4.539 4.539 4.539
angles: 60.00 60.00 60.00
Fractional coordinates of all 3 atoms:
Li (0.500, 0.500, 0.500)
In (0.000, 0.000, 0.000)
P (0.750, 0.750, 0.750)

Values from the calculation:
V	22.05	A^3/atom
space-group type	F-43m, No. 216
total magnetic moment	0.0	Bohr magnetons per cell

#iii
## LiInP (GGA-PBE)

Data for an optimized crystal structure of LiInP.

abc: 4.101 4.101 8.807
angles: 90.00 90.00 120.00
Fractional coordinates of all 6 atoms:
P (0.667, 0.333, 0.798)
P (0.333, 0.667, 0.202)
Li (0.667, 0.333, 0.092)
Li (0.333, 0.667, 0.908)
In (0.000, 0.000, 0.660)
In (0.000, 0.000, 0.340)

Values from the calculation:
V	21.38	A^3/atom
space-group type	P-3m1, No. 164
total magnetic moment	0.0	Bohr magnetons per cell

Tell me which of them is the least stable. Sure, it is #i.

#i
## Li2InP (GGA-PBE)

Data for an optimized crystal structure of Li2InP.

abc: 5.528 5.528 5.528
angles: 45.04 45.04 45.04
Fractional coordinates of all 4 atoms:
Li (0.210, 0.210, 0.210)
P (0.577, 0.577, 0.577)
In (0.756, 0.756, 0.756)
Li (0.958, 0.958, 0.958)

Values from the calculation:
V	19.25	A^3/atom
space-group type	R3m, No. 160
total magnetic moment	0.0	Bohr magnetons per cell

#ii
## Li2InP (GGA-PBE)

Data for an optimized crystal structure of Li2InP.

abc: 2.949 2.949 8.194
angles: 90.00 90.00 90.37
Fractional coordinates of all 4 atoms:
Li (0.000, 0.000, 0.058)
In (0.500, 0.500, 0.750)
Li (0.000, 0.000, 0.442)
P (0.500, 0.500, 0.250)

Values from the calculation:
V	17.82	A^3/atom
space-group type	Cmmm, No. 65
total magnetic moment	0.0	Bohr magnetons per cell

#iii
## Li2InP (GGA-PBE)

Data for an optimized crystal structure of Li2InP.

abc: 3.822 2.985 6.567
angles: 63.49 90.00 90.00
Fractional coordinates of all 4 atoms:
Li (0.000, 0.958, 0.046)
Li (0.000, 0.542, 0.454)
P (0.500, 0.250, 0.250)
In (0.500, 0.750, 0.750)

Values from the calculation:
V	16.76	A^3/atom
space-group type	P2/m, No. 10
total magnetic moment	0.0	Bohr magnetons per cell

#iv
## Li2InP (GGA-PBE)

Data for an optimized crystal structure of Li2InP.

abc: 4.762 4.762 4.762
angles: 60.00 60.00 60.00
Fractional coordinates of all 4 atoms:
In (0.000, 0.000, 0.000)
Li (0.500, 0.500, 0.500)
P (0.250, 0.250, 0.250)
Li (0.750, 0.750, 0.750)

Values from the calculation:
V	19.08	A^3/atom
space-group type	F-43m, No. 216
total magnetic moment	0.0	Bohr magnetons per cell

Tell me which of them is the least stable. Sure, it is #iv.